1.
Ho3Ni2Rh7 after structural relaxation. Source: Alexandria, functional PBE-GGA.

Summary:
* uncorrected energy: -6.9715 eV/atom
* energy of formation: -0.58 eV per atom
* crystal system: trigonal

Lattice parameters (Å, degrees): 5.2454 5.2454 25.4112 90.00 90.00 120.00
Space group R-3m (No. 166, hexagonal axes)
Inequivalent atoms, fractional coordinates:
Ho 0.0000 0.0000 0.0000 (multiplicity 3)
Ho 0.0000 0.0000 0.1395 (multiplicity 6)
Ni 0.0000 0.0000 0.3333 (multiplicity 6)
Rh 0.0000 0.0000 0.5000 (multiplicity 3)
Rh 0.0021 0.5010 0.9199 (multiplicity 18)

2.
Ho2Ni3Rh after structural relaxation. Source: Alexandria, functional PBE-GGA.

Summary:
* uncorrected energy: -6.2007 eV/atom
* energy of formation: -0.56 eV per atom
* crystal system: trigonal

Lattice parameters (Å, degrees): 5.0436 5.0436 12.9931 90.00 90.00 120.00
Space group R-3m (No. 166, hexagonal axes)
Inequivalent atoms, fractional coordinates:
Ho 0.0000 0.0000 0.1225 (multiplicity 6)
Ni 0.0000 0.5000 0.0000 (multiplicity 9)
Rh 0.0000 0.0000 0.5000 (multiplicity 3)

3.
HoScNiRh after structural relaxation. Source: Alexandria, functional PBE-GGA.

Summary:
* relative energy among the computed polymorphs: 0.00 eV per formula unit
* uncorrected energy: -6.6995 eV/atom
* energy of formation: -0.69 eV per atom
* crystal system: tetragonal

Lattice parameters (Å, degrees): 3.285 3.285 6.643 90.00 90.00 90.00
Space group P4mm (No. 99)
Inequivalent atoms, fractional coordinates:
Ho 0.000 0.000 0.000 (multiplicity 1)
Sc 0.000 0.000 0.505 (multiplicity 1)
Ni 0.500 0.500 0.734 (multiplicity 1)
Rh 0.500 0.500 0.271 (multiplicity 1)

4.
HoScNiRh after structural relaxation. Source: Alexandria, functional PBE-GGA.

Summary:
* relative energy among the computed polymorphs: 0.05 eV per formula unit
* uncorrected energy: -6.6870 eV/atom
* energy of formation: -0.68 eV per atom
* crystal system: cubic

Lattice parameters (Å, degrees): 6.612 6.612 6.612 90.00 90.00 90.00
Space group F-43m (No. 216)
Inequivalent atoms, fractional coordinates:
Ho 0.000 0.000 0.000 (multiplicity 4)
Sc 0.000 0.000 0.500 (multiplicity 4)
Ni 0.250 0.250 0.750 (multiplicity 4)
Rh 0.250 0.250 0.250 (multiplicity 4)